Record 1
A geometry-optimized CaAcPmNd structure, computed with PBE.

Calculated values
Final energy = -3.865 eV per atom
Density of states at the Fermi level = 5.5 states/eV/f.u.
Calculated formation energy = 0.042 eV/atom

Cell: 3.8069 3.8069 10.7567 Å, 90.00 90.00 90.00°
Space group P4mm (No. 99)
One atom of each set of equivalent atoms:
Ca1 0.0000 0.0000 0.0000 [1 per cell]
Ac1 0.5000 0.5000 0.7238 [1 per cell]
Pm1 0.5000 0.5000 0.2514 [1 per cell]
Nd1 0.0000 0.0000 0.4733 [1 per cell]

Record 2
A geometry-optimized CaAc2PmNd structure, computed with PBE.

Calculated values
Final energy = -3.654 eV per atom
Density of states at the Fermi level = 6.8 states/eV/f.u.
Calculated formation energy = 0.293 eV/atom

Cell: 6.4425 8.7584 7.3703 Å, 90.00 90.00 90.00°
Space group Pmma (No. 51)
One atom of each set of equivalent atoms:
Ca1 0.2500 0.0000 0.1014 [2 per cell]
Ac1 0.2500 0.2959 0.7914 [4 per cell]
Pm1 0.0000 0.0000 0.5000 [2 per cell]
Nd1 0.2500 0.5000 0.3428 [2 per cell]

Record 3
A geometry-optimized CaAc5PmNd2 structure, computed with PBE.

Calculated values
Final energy = -3.938 eV per atom
Density of states at the Fermi level = 14.9 states/eV/f.u.
Calculated formation energy = 0.155 eV/atom

Cell: 5.9697 22.4205 11.2754 Å, 90.00 90.00 90.00°
Space group Cmc2_1 (No. 36)
One atom of each set of equivalent atoms:
Ca1 0.0000 0.0976 0.0000 [4 per cell]
Ac1 0.0000 0.0005 0.2510 [4 per cell]
Ac2 0.0000 0.1298 0.5019 [4 per cell]
Ac3 0.0000 0.2187 0.1910 [4 per cell]
Ac4 0.0000 0.2197 0.8127 [4 per cell]
Ac5 0.0000 0.4970 0.5014 [4 per cell]
Pm1 0.0000 0.3067 0.5017 [4 per cell]
Nd1 0.0000 0.3857 0.2344 [4 per cell]
Nd2 0.0000 0.3860 0.7689 [4 per cell]

Record 4
A geometry-optimized CaAcPmNd structure, computed with PBE.

Calculated values
Final energy = -3.789 eV per atom
Density of states at the Fermi level = 7.4 states/eV/f.u.
Calculated formation energy = 0.118 eV/atom

Cell: 8.5280 8.5280 8.5280 Å, 90.00 90.00 90.00°
Space group F-43m (No. 216)
One atom of each set of equivalent atoms:
Ca1 0.0000 0.0000 0.0000 [4 per cell]
Ac1 0.2500 0.2500 0.7500 [4 per cell]
Pm1 0.2500 0.2500 0.2500 [4 per cell]
Nd1 0.0000 0.0000 0.5000 [4 per cell]

Record 5
A geometry-optimized CaAc5PrNd2 structure, computed with PBE.

Calculated values
Final energy = -3.828 eV per atom
Density of states at the Fermi level = 14.2 states/eV/f.u.
Calculated formation energy = 0.268 eV/atom

Cell: 9.9858 9.9858 15.4948 Å, 90.00 90.00 90.00°
Space group I4/mcm (No. 140)
One atom of each set of equivalent atoms:
Ca1 0.0000 0.5000 0.2500 [4 per cell]
Ac1 0.0000 0.0000 0.0000 [4 per cell]
Ac2 0.2056 0.2944 0.1297 [16 per cell]
Pr1 0.0000 0.0000 0.2500 [4 per cell]
Nd1 0.1051 0.3949 0.5000 [8 per cell]

Record 6
A geometry-optimized CaAcPr6Nd2 structure, computed with PBE.

Calculated values
Final energy = -4.315 eV per atom
Density of states at the Fermi level = 14.9 states/eV/f.u.
Calculated formation energy = 0.118 eV/atom

Cell: 9.4113 15.9657 10.1450 Å, 90.00 97.04 90.00°
Space group C2/c (No. 15)
One atom of each set of equivalent atoms:
Ca1 0.0000 0.0961 0.2500 [4 per cell]
Ac1 0.0000 0.4754 0.7500 [4 per cell]
Pr1 0.0610 0.3173 0.4480 [8 per cell]
Pr2 0.1055 0.1064 0.6201 [8 per cell]
Pr3 0.2033 0.2680 0.8226 [8 per cell]
Nd1 0.2456 0.0546 0.9568 [8 per cell]

Record 7
A geometry-optimized CaAcPr2Nd6 structure, computed with PBE.

Calculated values
Final energy = -4.306 eV per atom
Density of states at the Fermi level = 14.8 states/eV/f.u.
Calculated formation energy = 0.122 eV/atom

Cell: 9.3764 15.9441 10.0818 Å, 90.00 96.77 90.00°
Space group C2/c (No. 15)
One atom of each set of equivalent atoms:
Ca1 0.0000 0.0960 0.2500 [4 per cell]
Ac1 0.0000 0.4758 0.7500 [4 per cell]
Pr1 0.2446 0.0554 0.9568 [8 per cell]
Nd1 0.0604 0.3158 0.4475 [8 per cell]
Nd2 0.1058 0.1074 0.6196 [8 per cell]
Nd3 0.2022 0.2679 0.8223 [8 per cell]

Record 8
A geometry-optimized Ca2Ac5PrNd structure, computed with PBE.

Calculated values
Final energy = -3.488 eV per atom
Density of states at the Fermi level = 17.3 states/eV/f.u.
Calculated formation energy = 0.300 eV/atom

Cell: 9.2509 9.2509 17.9693 Å, 90.00 90.00 90.00°
Space group I4/mcm (No. 140)
One atom of each set of equivalent atoms:
Ca1 0.1166 0.3834 0.0000 [8 per cell]
Ac1 0.0000 0.0000 0.0000 [4 per cell]
Ac2 0.2144 0.2856 0.3535 [16 per cell]
Pr1 0.0000 0.0000 0.2500 [4 per cell]
Nd1 0.0000 0.5000 0.2500 [4 per cell]